Entry 1:
First-principles (PBE-GGA) data for crystalline FeS at its relaxed geometry, as listed in OQMD via LeMat-Bulk.

a b c (Å): 5.8497 5.8497 10.4638
angles (deg): 90.00 90.00 120.00
Element x y z (fractional)
Fe 0.0703 0.4065 0.1146
Fe 0.0703 0.4065 0.3854
Fe 0.3362 0.9297 0.1146
Fe 0.3362 0.9297 0.3854
Fe 0.4065 0.0703 0.6146
Fe 0.4065 0.0703 0.8854
Fe 0.5935 0.6638 0.1146
Fe 0.5935 0.6638 0.3854
Fe 0.6638 0.5935 0.6146
Fe 0.6638 0.5935 0.8854
Fe 0.9297 0.3362 0.6146
Fe 0.9297 0.3362 0.8854
S 0.0000 0.0000 0.0000
S 0.0000 0.0000 0.5000
S 0.0268 0.6750 0.2500
S 0.3250 0.3517 0.2500
S 0.3333 0.6667 0.5369
S 0.3333 0.6667 0.9631
S 0.3517 0.3250 0.7500
S 0.6483 0.9732 0.2500
S 0.6667 0.3333 0.0369
S 0.6667 0.3333 0.4631
S 0.6750 0.0268 0.7500
S 0.9732 0.6483 0.7500

Final energy = -6.50 eV per atom
M_tot = 0.364 μB/atom



Entry 2:
First-principles (PBE-GGA) data for crystalline LaGdSn2 at its relaxed geometry, as listed in OQMD via LeMat-Bulk.

a b c (Å): 3.3953 6.4135 12.5014
angles (deg): 90.00 90.00 90.00
Element x y z (fractional)
La 0.0000 0.0000 0.0000
La 0.0000 0.5000 0.5000
Gd 0.0000 0.0000 0.2803
Gd 0.0000 0.5000 0.7803
Sn 0.0000 0.0000 0.5212
Sn 0.0000 0.0000 0.7475
Sn 0.0000 0.5000 0.0212
Sn 0.0000 0.5000 0.2475

E above lowest polymorph = 0.4427 eV per atom
M_tot = 0.006 μB/atom



Entry 3:
First-principles (PBE-GGA) data for crystalline FeSnHgW at its relaxed geometry, as listed in OQMD via LeMat-Bulk.

a b c (Å): 6.5507 6.5507 6.5507
angles (deg): 90.00 90.00 90.00
Element x y z (fractional)
Fe 0.0000 0.0000 0.0000
Fe 0.0000 0.5000 0.5000
Fe 0.5000 0.0000 0.5000
Fe 0.5000 0.5000 0.0000
Sn 0.2500 0.2500 0.7500
Sn 0.2500 0.7500 0.2500
Sn 0.7500 0.2500 0.2500
Sn 0.7500 0.7500 0.7500
Hg 0.2500 0.2500 0.2500
Hg 0.2500 0.7500 0.7500
Hg 0.7500 0.2500 0.7500
Hg 0.7500 0.7500 0.2500
W 0.0000 0.0000 0.5000
W 0.0000 0.5000 0.0000
W 0.5000 0.0000 0.0000
W 0.5000 0.5000 0.5000

E above lowest polymorph = 0.0000 eV per atom
M_tot = 0.646 μB/atom



Entry 4:
First-principles (PBE-GGA) data for crystalline NbHgPd at its relaxed geometry, as listed in OQMD via LeMat-Bulk.

a b c (Å): 6.2657 6.2657 6.2657
angles (deg): 90.00 90.00 90.00
Element x y z (fractional)
Nb 0.0000 0.0000 0.0000
Nb 0.0000 0.5000 0.5000
Nb 0.5000 0.0000 0.5000
Nb 0.5000 0.5000 0.0000
Hg 0.0000 0.0000 0.5000
Hg 0.0000 0.5000 0.0000
Hg 0.5000 0.0000 0.0000
Hg 0.5000 0.5000 0.5000
Pd 0.2500 0.2500 0.7500
Pd 0.2500 0.7500 0.2500
Pd 0.7500 0.2500 0.2500
Pd 0.7500 0.7500 0.7500

M_tot = 0.081 μB/atom
Calculated formation energy = 0.243 eV/atom



Entry 5:
First-principles (PBE-GGA) data for crystalline ZrAl at its relaxed geometry, as listed in OQMD via LeMat-Bulk.

a b c (Å): 6.9860 14.2862 4.7468
angles (deg): 90.00 90.00 90.00
Element x y z (fractional)
Zr 0.1086 0.1688 0.2500
Zr 0.1086 0.3312 0.7500
Zr 0.3571 0.6604 0.2500
Zr 0.3571 0.8396 0.7500
Zr 0.3815 0.1545 0.7500
Zr 0.3815 0.3455 0.2500
Zr 0.6185 0.6545 0.7500
Zr 0.6185 0.8455 0.2500
Zr 0.6429 0.1604 0.2500
Zr 0.6429 0.3396 0.7500
Zr 0.8914 0.6688 0.2500
Zr 0.8914 0.8312 0.7500
Al 0.1093 0.0035 0.7500
Al 0.1093 0.4965 0.2500
Al 0.1317 0.6556 0.7500
Al 0.1317 0.8444 0.2500
Al 0.3545 0.0056 0.2500
Al 0.3545 0.4944 0.7500
Al 0.6455 0.5056 0.2500
Al 0.6455 0.9944 0.7500
Al 0.8683 0.1556 0.7500
Al 0.8683 0.3444 0.2500
Al 0.8907 0.5035 0.7500
Al 0.8907 0.9965 0.2500

Final energy = -6.39 eV per atom
M_tot = 0.004 μB/atom



Entry 6:
First-principles (PBE-GGA) data for crystalline LaHfPd at its relaxed geometry, as listed in OQMD via LeMat-Bulk.

a b c (Å): 6.8369 6.8369 6.8369
angles (deg): 90.00 90.00 90.00
Element x y z (fractional)
La 0.0000 0.0000 0.0000
La 0.0000 0.5000 0.5000
La 0.5000 0.0000 0.5000
La 0.5000 0.5000 0.0000
Hf 0.0000 0.0000 0.5000
Hf 0.0000 0.5000 0.0000
Hf 0.5000 0.0000 0.0000
Hf 0.5000 0.5000 0.5000
Pd 0.2500 0.2500 0.7500
Pd 0.2500 0.7500 0.2500
Pd 0.7500 0.2500 0.2500
Pd 0.7500 0.7500 0.7500

M_tot = 0.016 μB/atom
Calculated formation energy = -0.033 eV/atom



Among the records above, which one has the lowest M_tot? ZrAl



Among the records above, which one has the lowest M_tot? ZrAl



Which value of M_tot does entry 5 give? 0.004 μB/atom



Which formula does entry 4 have? NbHgPd